No. 1
Zn2CdIn | SCAN | single point on PBEsol structure

abc: 3.159 3.159 8.955
angles: 79.84 79.84 60.00
Positions (direct):
In (0.256, 0.256, 0.233)
Zn (0.008, 0.008, 0.977)
Zn (0.744, 0.744, 0.768)
Cd (0.493, 0.493, 0.522)

## Properties
Crystal system: trigonal
Density (kg/m3): 7845
Symmetry: R3m (160)
Polymorph energy (0 for the lowest one) (meV per atom): 32



No. 2
ZnCdIn | SCAN | single point on PBEsol structure

abc: 3.248 4.241 5.121
angles: 114.46 108.49 90.00
Positions (direct):
In (0.332, 0.332, 0.663)
Cd (0.002, 0.002, 0.003)
Zn (0.667, 0.667, 0.333)

## Properties
Crystal system: orthorhombic
Density (kg/m3): 8074
E (eV per atom): -25.64
Symmetry: Imm2 (44)



No. 3
ZnCd2In | SCAN | single point on PBEsol structure

abc: 4.305 4.305 4.365
angles: 90.00 90.00 90.00
Positions (direct):
Zn (0.000, 0.000, 0.500)
Cd (0.500, 0.000, 0.000)
In (0.500, 0.500, 0.500)
Cd (0.000, 0.500, 0.000)

## Properties
Crystal system: tetragonal
Density (kg/m3): 8314
Symmetry: P4/mmm (123)
Polymorph energy (0 for the lowest one) (meV per atom): 32



No. 4
ZnCd2In | SCAN | single point on PBEsol structure

abc: 3.330 4.858 5.511
angles: 100.57 90.00 110.04
Positions (direct):
Cd (0.252, 0.505, 0.763)
Zn (0.748, 0.495, 0.235)
Cd (0.005, 0.010, 0.015)
In (0.495, 0.990, 0.487)

## Properties
Crystal system: monoclinic
Density (kg/m3): 8190
Symmetry: Cm (8)
Polymorph energy (0 for the lowest one) (meV per atom): 5



No. 5
ZnCd2In | SCAN | single point on PBEsol structure

abc: 3.062 4.972 6.158
angles: 112.53 102.43 94.75
Positions (direct):
Cd (0.000, 0.000, 0.500)
Cd (0.500, 0.500, 0.500)
Zn (0.500, 0.500, 0.000)
In (0.000, 0.000, 0.000)

## Properties
Crystal system: monoclinic
Density (kg/m3): 8088
Symmetry: C2/m (12)
Polymorph energy (0 for the lowest one) (meV per atom): 17



No. 6
ZnCdIn3 | SCAN | single point on PBEsol structure

abc: 5.129 5.129 5.129
angles: 90.00 90.00 90.00
Positions (direct):
In (0.500, 0.000, 0.000)
In (0.000, 0.000, 0.500)
In (0.000, 0.500, 0.000)
Cd (0.500, 0.500, 0.500)
Zn (0.000, 0.000, 0.000)

## Properties
Crystal system: cubic
Density (kg/m3): 6428
Symmetry: Pm-3m (221)
Polymorph energy (0 for the lowest one) (meV per atom): 0



No. 7
ZnCd2In | SCAN | single point on PBEsol structure

abc: 3.139 4.284 6.059
angles: 90.00 90.00 90.00
Positions (direct):
In (0.500, 0.500, 0.000)
Cd (0.000, 0.000, 0.734)
Cd (0.000, 0.000, 0.266)
Zn (0.500, 0.500, 0.500)

## Properties
Crystal system: orthorhombic
Density (kg/m3): 8257
Symmetry: Pmmm (47)
Polymorph energy (0 for the lowest one) (meV per atom): 32



No. 8
Zn4CdIn | SCAN | single point on PBEsol structure

abc: 5.248 5.248 5.248
angles: 60.00 60.00 60.00
Positions (direct):
In (0.000, 0.000, 0.000)
Cd (0.750, 0.750, 0.750)
Zn (0.375, 0.874, 0.375)
Zn (0.375, 0.375, 0.874)
Zn (0.874, 0.375, 0.375)
Zn (0.375, 0.375, 0.375)

## Properties
Crystal system: cubic
Density (kg/m3): 7942
E (eV per atom): -19.54
Symmetry: F-43m (216)



No. 9
ZnCd2In | SCAN | single point on PBEsol structure

abc: 2.832 5.367 6.248
angles: 115.44 103.10 90.00
Positions (direct):
Cd (0.725, 0.725, 0.451)
Zn (0.000, 0.500, 0.000)
Cd (0.275, 0.275, 0.549)
In (0.500, 0.000, 0.000)

## Properties
Crystal system: orthorhombic
Density (kg/m3): 8102
Symmetry: Immm (71)
Polymorph energy (0 for the lowest one) (meV per atom): 0



No. 10
ZnCdIn | SCAN | single point on PBEsol structure

abc: 3.094 3.094 6.684
angles: 103.38 103.38 90.00
Positions (direct):
Zn (0.339, 0.339, 0.678)
In (0.675, 0.675, 0.350)
Cd (0.986, 0.986, 0.972)

## Properties
Crystal system: tetragonal
Density (kg/m3): 8038
E (eV per atom): -25.65
Symmetry: I4mm (107)



No. 11
Zn2Cd2In | SCAN | single point on PBEsol structure

abc: 2.788 8.433 8.433
angles: 90.00 90.00 90.00
Positions (direct):
Cd (0.000, 0.643, 0.143)
In (0.000, 0.500, 0.500)
Cd (0.000, 0.143, 0.357)
Cd (0.000, 0.357, 0.857)
Zn (0.500, 0.345, 0.155)
Zn (0.500, 0.655, 0.845)
Zn (0.500, 0.845, 0.345)
In (0.000, 0.000, 0.000)
Zn (0.500, 0.155, 0.655)
Cd (0.000, 0.857, 0.643)

## Properties
Crystal system: tetragonal
Density (kg/m3): 7881
E (eV per atom): -24.13
Symmetry: P4/mbm (127)



No. 12
ZnCd2In | SCAN | single point on PBEsol structure

abc: 4.315 4.315 5.312
angles: 113.97 113.97 90.00
Positions (direct):
In (0.500, 0.500, 0.000)
Cd (0.750, 0.250, 0.500)
Zn (0.000, 0.000, 0.000)
Cd (0.250, 0.750, 0.500)

## Properties
Crystal system: tetragonal
Density (kg/m3): 8307
Symmetry: I4/mmm (139)
Polymorph energy (0 for the lowest one) (meV per atom): 30



No. 13
ZnCd2In2 | SCAN | single point on PBEsol structure

abc: 4.038 4.038 7.901
angles: 104.81 104.81 90.00
Positions (direct):
Cd (0.250, 0.750, 0.500)
Zn (0.000, 0.000, 0.000)
Cd (0.750, 0.250, 0.500)
In (0.597, 0.597, 0.193)
In (0.403, 0.403, 0.807)

## Properties
Crystal system: tetragonal
Density (kg/m3): 7186
E (eV per atom): -27.98
Symmetry: I4/mmm (139)



No. 14
Zn2CdIn | SCAN | single point on PBEsol structure

abc: 2.905 5.159 5.159
angles: 105.63 90.00 90.00
Positions (direct):
In (0.500, 0.500, 0.500)
Zn (0.000, 0.500, 0.000)
Cd (0.500, 0.000, 0.000)
Zn (0.000, 0.000, 0.500)

## Properties
Crystal system: orthorhombic
Density (kg/m3): 7984
Symmetry: Cmmm (65)
Polymorph energy (0 for the lowest one) (meV per atom): 65



No. 15
ZnCdIn | SCAN | single point on PBEsol structure

abc: 4.502 4.502 4.502
angles: 60.00 60.00 60.00
Positions (direct):
Cd (0.000, 0.000, 0.000)
In (0.500, 0.500, 0.500)
Zn (0.250, 0.250, 0.250)

## Properties
Crystal system: cubic
Density (kg/m3): 7531
E (eV per atom): -25.76
Symmetry: F-43m (216)



No. 16
Zn2CdIn | SCAN | single point on PBEsol structure

abc: 3.687 4.193 5.264
angles: 90.00 110.08 90.00
Positions (direct):
Zn (0.178, 0.000, 0.980)
In (0.598, 0.500, 0.818)
Zn (0.323, 0.500, 0.273)
Cd (0.901, 0.000, 0.429)

## Properties
Crystal system: monoclinic
Density (kg/m3): 7780
Symmetry: Pm (6)
Polymorph energy (0 for the lowest one) (meV per atom): 0



No. 17
ZnCd2In | SCAN | single point on PBEsol structure

abc: 3.225 3.225 9.325
angles: 80.04 80.04 60.00
Positions (direct):
Zn (0.000, 0.000, 0.000)
Cd (0.743, 0.743, 0.772)
In (0.500, 0.500, 0.500)
Cd (0.257, 0.257, 0.228)

## Properties
Crystal system: trigonal
Density (kg/m3): 8171
Symmetry: R-3m (166)
Polymorph energy (0 for the lowest one) (meV per atom): 8



No. 18
ZnCdIn | SCAN | single point on PBEsol structure

abc: 3.257 3.257 6.620
angles: 90.00 90.00 120.00
Positions (direct):
In (0.333, 0.667, 0.652)
Zn (0.667, 0.333, 0.328)
Cd (0.000, 0.000, 0.020)

## Properties
Crystal system: trigonal
Density (kg/m3): 7988
E (eV per atom): -25.67
Symmetry: P3m1 (156)



No. 19
Zn2CdIn | SCAN | single point on PBEsol structure

abc: 3.248 4.686 5.386
angles: 100.49 90.00 110.27
Positions (direct):
Zn (0.008, 0.016, 0.033)
Cd (0.493, 0.985, 0.469)
In (0.255, 0.510, 0.769)
Zn (0.744, 0.488, 0.228)

## Properties
Crystal system: monoclinic
Density (kg/m3): 7883
Symmetry: Cm (8)
Polymorph energy (0 for the lowest one) (meV per atom): 21



No. 20
ZnCdIn3 | SCAN | single point on PBEsol structure

abc: 5.382 5.382 5.382
angles: 90.00 90.00 90.00
Positions (direct):
Zn (0.500, 0.500, 0.500)
In (0.500, 0.000, 0.000)
In (0.000, 0.000, 0.500)
Cd (0.000, 0.000, 0.000)
In (0.000, 0.500, 0.000)

## Properties
Crystal system: cubic
Density (kg/m3): 5563
Symmetry: Pm-3m (221)
Polymorph energy (0 for the lowest one) (meV per atom): 263